Run a
Th2Cu2Pd: optimized geometry, PBE.

Properties
As for the symmetry: C2/m. The density of states at the Fermi level comes out at 8.62 states/eV/cell.

a = 5.614 Å, b = 5.614 Å, c = 10.671 Å
α = 112.83°, β = 112.83°, γ = 45.13°
Fractional positions:
Th 0.024 0.024 0.342
Th 0.193 0.193 0.108
Th 0.807 0.807 0.892
Th 0.976 0.976 0.658
Cu 0.367 0.367 0.439
Cu 0.475 0.475 0.108
Cu 0.525 0.525 0.892
Cu 0.633 0.633 0.561
Pd 0.277 0.277 0.672
Pd 0.723 0.723 0.328

Run b
Th2Cu2Pd: optimized geometry, PBE.

Properties
As for the symmetry: P4/mnc. The density of states at the Fermi level comes out at 16.92 states/eV/cell.

a = 7.185 Å, b = 7.185 Å, c = 8.257 Å
α = 90.00°, β = 90.00°, γ = 90.00°
Fractional positions:
Th 0.177 0.323 0.000
Th 0.177 0.323 0.500
Th 0.323 0.823 0.000
Th 0.323 0.823 0.500
Th 0.677 0.177 0.000
Th 0.677 0.177 0.500
Th 0.823 0.677 0.000
Th 0.823 0.677 0.500
Cu 0.123 0.623 0.250
Cu 0.123 0.623 0.750
Cu 0.377 0.123 0.250
Cu 0.377 0.123 0.750
Cu 0.623 0.877 0.250
Cu 0.623 0.877 0.750
Cu 0.877 0.377 0.250
Cu 0.877 0.377 0.750
Pd 0.000 0.000 0.249
Pd 0.000 0.000 0.751
Pd 0.500 0.500 0.251
Pd 0.500 0.500 0.749

run a ends up most stable, edging out the next structure by 3.3 kJ/mol of atoms.

Run a
YThCuPd: optimized geometry, PBE.

Properties
As for the symmetry: F-43m. The density of states at the Fermi level comes out at 4.30 states/eV/cell.

a = 5.046 Å, b = 5.046 Å, c = 5.046 Å
α = 60.00°, β = 60.00°, γ = 60.00°
Fractional positions:
Y 0.000 0.000 0.000
Th 0.500 0.500 0.500
Cu 0.250 0.250 0.250
Pd 0.750 0.750 0.750

Run b
YThCuPd: optimized geometry, PBE.

Properties
As for the symmetry: Amm2. The density of states at the Fermi level comes out at 3.60 states/eV/cell.

a = 4.605 Å, b = 5.692 Å, c = 5.692 Å
α = 38.48°, β = 90.00°, γ = 90.00°
Fractional positions:
Y 0.000 0.000 0.000
Th 0.500 0.280 0.280
Cu 0.000 0.721 0.721
Pd 0.500 0.563 0.563

run b ends up most stable, edging out the next structure by 7.2 kJ/mol of atoms.

Run a
ThZnCuPd: optimized geometry, PBE.

Properties
As for the symmetry: R3m. The density of states at the Fermi level comes out at 3.03 states/eV/cell.

a = 5.294 Å, b = 5.294 Å, c = 5.294 Å
α = 49.18°, β = 49.18°, γ = 49.18°
Fractional positions:
Th 0.000 0.000 0.000
Zn 0.492 0.492 0.492
Cu 0.789 0.789 0.789
Pd 0.216 0.216 0.216

Run b
ThZnCuPd: optimized geometry, PBE.

Properties
As for the symmetry: F-43m. The density of states at the Fermi level comes out at 2.87 states/eV/cell.

a = 4.788 Å, b = 4.788 Å, c = 4.788 Å
α = 60.00°, β = 60.00°, γ = 60.00°
Fractional positions:
Th 0.000 0.000 0.000
Zn 0.500 0.500 0.500
Cu 0.750 0.750 0.750
Pd 0.250 0.250 0.250

run a ends up most stable, edging out the next structure by 7.9 kJ/mol of atoms.